Entry 1:
First-principles (PBE) data for Tb4PrAl2 after structural relaxation, as listed in the Alexandria database.

abc: 5.3521 5.3521 23.6879
angles: 90.00 90.00 120.00
With the nearest neighbours (Å) after each atom.
Space group R-3m (No. 166, hexagonal axes)
Inequivalent atoms, fractional coordinates:
1 Tb 0.0000 0.0000 0.0809 x6  4 Al 3.19-3.25, 3 Tb 3.49
2 Tb 0.0000 0.0000 0.3456 x6  1 Al 3.02, 3 Tb 3.14
3 Pr 0.0000 0.0000 0.5000 x3  6 Al 3.32, 8 Tb 3.66-3.70
4 Al 0.0000 0.0000 0.2182 x6  5 Tb 3.02-3.25, 3 Pr 3.32

uncorrected energy	-4.595	eV/atom
relative energy among the computed polymorphs	0.00	eV/f.u.
DOS(E_F)	0.7291	states/eV/atom
energy relative to the elements	-0.1969	eV/atom

---

Entry 2:
First-principles (PBE) data for CrIr2W after structural relaxation, as listed in the Alexandria database.

abc: 3.2097 3.2097 5.6828
angles: 90.00 90.00 90.00
With the nearest neighbours (Å) after each atom.
Space group P4mm (No. 99)
Inequivalent atoms, fractional coordinates:
1 Cr 0.0000 0.0000 0.0000 x1  5 Ir 2.51-2.73, 4 W 2.75
2 Ir 0.0000 0.0000 0.4808 x1  4 W 2.67, 2 Cr 2.73-2.95, 4 Ir 2.81
3 Ir 0.5000 0.5000 0.1881 x1  4 Cr 2.51, 1 W 2.62
4 W 0.5000 0.5000 0.7270 x1  5 Ir 2.62-2.67, 4 Cr 2.75

uncorrected energy	-9.971	eV/atom
relative energy among the computed polymorphs	1.38	eV/f.u.
DOS(E_F)	1.1593	states/eV/atom
energy relative to the elements	0.1032	eV/atom

---

Entry 3:
First-principles (PBE) data for Tl3TeF after structural relaxation, as listed in the Alexandria database.

abc: 4.3391 9.9999 8.0230
angles: 90.00 105.69 90.00
With the nearest neighbours (Å) after each atom.
Space group P2_1/m (No. 11)
Inequivalent atoms, fractional coordinates:
1 Tl 0.0941 0.2500 0.1856 x2  2 F 2.68
2 Tl 0.3740 0.0646 0.7467 x4  1 F 2.60
3 Te 0.2234 0.7500 0.4487 x2  6 Tl 3.23-3.56
4 F 0.4926 0.2500 0.9829 x2  4 Tl 2.60-2.68

ΔE_f (raw)	-0.82	eV/atom
uncorrected energy	-3.244	eV/atom
relative energy among the computed polymorphs	0.00	eV/f.u.